# LiTmTiRe GGA-PBE relaxed
# magnetization: 0.00 μB/f.u.
# formation enthalpy at 0 K: 0.5 kJ per mole of atoms
# mass density: 9.72 g/cm³
# V: 17.5 Å³ per atom
data_LiTmTiRe
_chemical_formula_sum 'Li4 Tm4 Ti4 Re4'
_space_group_name_H-M_alt 'F -4 3 m'
_space_group_IT_number 216
_space_group_name_Hall 'F -4 2 3'
_cell_length_a 6.543
_cell_length_b 6.543
_cell_length_c 6.543
_cell_angle_alpha 90.00
_cell_angle_beta 90.00
_cell_angle_gamma 90.00
loop_
_atom_site_label
_atom_site_type_symbol
_atom_site_fract_x
_atom_site_fract_y
_atom_site_fract_z
_atom_site_occupancy
Li1 Li 0.000 0.000 0.000 1
Tm1 Tm 0.250 0.250 0.750 1
Ti1 Ti 0.250 0.250 0.250 1
Re1 Re 0.000 0.000 0.500 1